Entry 1:
Density functional theory data (PBE) for an optimized crystal structure of SiIr2Se.

Structure (POSCAR):
```
SiIr2Se
1.0
1.442 0.833 9.501
-1.442 0.833 9.501
0.000 -1.665 9.501
Si Ir Se
1 2 1
Cartesian
0.000 0.000 0.000
0.000 0.000 13.646
0.000 0.000 20.837
0.000 0.000 6.080
```

Calculated values
ΔE to the lowest computed polymorph = 447 meV per atom
formation energy from raw total energies = 0.205 eV/atom


Entry 2:
Density functional theory data (PBE) for an optimized crystal structure of SiIr2Se.

Structure (POSCAR):
```
SiIr2Se
1.0
-2.682 2.682 5.622
2.682 -2.682 5.622
2.682 2.682 -5.622
Si Ir Se
2 4 2
Cartesian
0.000 0.000 0.000
0.000 2.682 2.811
4.023 1.264 -1.405
1.264 1.341 1.405
-1.341 1.418 4.216
1.418 1.341 7.027
2.682 0.000 2.811
0.000 0.000 5.622
```

Calculated values
ΔE to the lowest computed polymorph = 256 meV per atom
formation energy from raw total energies = 0.015 eV/atom


Entry 3:
Density functional theory data (PBE) for an optimized crystal structure of SiIr2Se.

Structure (POSCAR):
```
SiIr2Se
1.0
2.812 0.000 0.000
0.000 4.315 0.000
0.000 0.000 5.076
Si Ir Se
1 2 1
Cartesian
0.000 0.000 0.000
0.000 2.158 2.538
1.406 2.158 0.000
1.406 0.000 2.538
```

Calculated values
ΔE to the lowest computed polymorph = 563 meV per atom
formation energy from raw total energies = 0.322 eV/atom


Entry 4:
Density functional theory data (PBE) for an optimized crystal structure of SiIr2Se.

Structure (POSCAR):
```
SiIr2Se
1.0
-1.856 1.856 4.370
1.856 -1.856 4.370
1.856 1.856 -4.370
Si Ir Se
1 2 1
Cartesian
0.000 0.000 0.000
1.856 0.000 2.185
0.000 0.000 4.370
0.000 1.856 2.185
```

Calculated values
ΔE to the lowest computed polymorph = 544 meV per atom
formation energy from raw total energies = 0.303 eV/atom


- What is the formation energy from raw total energies in the first record?
  0.205 eV/atom